TeSeCl2: optimized geometry, GGA-PBE.

a = 6.048 Å, b = 6.048 Å, c = 4.668 Å
α = 112.59°, β = 112.59°, γ = 42.75°
Fractional coordinates of all 4 atoms:
Se 0.750 0.750 0.750
Cl 0.502 0.502 0.502
Cl 0.998 0.998 0.998
Te 0.250 0.250 0.250

Calculated values
Electronic total energy: -10.45 eV for the cell shown